No. 1
TlCr3S: relaxed, GGA-PBE.

a b c (Å): 4.228 4.228 4.228
angles (deg): 90.00 90.00 90.00
Fractional coordinates of all 5 atoms:
Tl 0.000 0.000 0.000
Cr 0.000 0.500 0.500
Cr 0.500 0.000 0.500
Cr 0.500 0.500 0.000
S 0.500 0.500 0.500

Summary:
Its formation energy from raw total energies is 10.2 kcal/mol of atoms.

***

No. 2
Li2MnSi2: relaxed, GGA-PBE.

a b c (Å): 4.259 4.259 7.737
angles (deg): 90.00 90.00 90.00
Fractional coordinates of all 10 atoms:
Li 0.000 0.000 0.129
Li 0.000 0.000 0.871
Li 0.500 0.500 0.371
Li 0.500 0.500 0.629
Mn 0.000 0.000 0.500
Mn 0.500 0.500 0.000
Si 0.000 0.500 0.250
Si 0.000 0.500 0.750
Si 0.500 0.000 0.250
Si 0.500 0.000 0.750

Summary:
Its formation energy from raw total energies is 9.0 kcal/mol of atoms.